Entry i
First-principles (PBE) data for BTeSe2 after structural relaxation, as listed in the Alexandria database.

Magnetic moment   0.00 μB/f.u.
D(E_F)   0.31 states/eV/atom

a = 8.3866 Å, b = 8.3866 Å, c = 8.3866 Å
α = 23.60°, β = 23.60°, γ = 23.60°
Element x y z (fractional)
B  0.0000  0.0000  0.0000
Te  0.5000  0.5000  0.5000
Se  0.3840  0.3840  0.3840
Se  0.6160  0.6160  0.6160

---

Entry ii
First-principles (PBE) data for BTeSe2 after structural relaxation, as listed in the Alexandria database.

Magnetic moment   0.00 μB/f.u.
D(E_F)   0.72 states/eV/atom

a = 6.2114 Å, b = 6.2114 Å, c = 6.2114 Å
α = 117.60°, β = 117.60°, γ = 94.21°
Element x y z (fractional)
B  0.0000  0.0000  0.0000
B  0.7500  0.2500  0.5000
Te  0.2500  0.7500  0.5000
Te  0.5000  0.5000  0.0000
Se  0.0160  0.6250  0.8910
Se  0.3750  0.2660  0.3910
Se  0.7340  0.1250  0.1090
Se  0.8750  0.9840  0.6090

---

Stability ranking, top entry: entry ii; the second entry is 5.3 kJ/mol of atoms less favorable.

---

Entry i
First-principles (PBE) data for BTeSe after structural relaxation, as listed in the Alexandria database.

Magnetic moment   0.00 μB/f.u.

a = 6.9823 Å, b = 5.7417 Å, c = 9.5754 Å
α = 90.00°, β = 107.22°, γ = 90.00°
Element x y z (fractional)
B  0.1187  0.0240  0.3091
B  0.1187  0.4760  0.8091
B  0.8813  0.5240  0.1909
B  0.8813  0.9760  0.6909
Te  0.3845  0.1978  0.4416
Te  0.3845  0.3022  0.9416
Te  0.6155  0.6978  0.0584
Te  0.6155  0.8022  0.5584
Se  0.1246  0.6794  0.3106
Se  0.1246  0.8206  0.8106
Se  0.8754  0.1794  0.1894
Se  0.8754  0.3206  0.6894

---

Entry ii
First-principles (PBE) data for BTeSe after structural relaxation, as listed in the Alexandria database.

Magnetic moment   0.00 μB/f.u.
D(E_F)   0.03 states/eV/atom

a = 3.7224 Å, b = 5.6732 Å, c = 6.5639 Å
α = 91.37°, β = 90.78°, γ = 93.14°
Element x y z (fractional)
B  0.0073  0.0798  0.3919
B  0.9927  0.9202  0.6081
Te  0.4718  0.6751  0.6638
Te  0.5282  0.3249  0.3362
Se  0.0940  0.1277  0.8628
Se  0.9060  0.8723  0.1372

---

Stability ranking, top entry: entry i; the second entry is 7.9 kJ/mol of atoms less favorable.

---

Entry i
First-principles (PBE) data for BTeSe3 after structural relaxation, as listed in the Alexandria database.

Magnetic moment   0.00 μB/f.u.
D(E_F)   0.84 states/eV/atom

a = 5.3636 Å, b = 5.3636 Å, c = 5.3636 Å
α = 90.00°, β = 90.00°, γ = 90.00°
Element x y z (fractional)
B  0.0000  0.0000  0.0000
Te  0.5000  0.5000  0.5000
Se  0.0000  0.5000  0.5000
Se  0.5000  0.0000  0.5000
Se  0.5000  0.5000  0.0000

---

Entry ii
First-principles (PBE) data for BTeSe3 after structural relaxation, as listed in the Alexandria database.

Magnetic moment   0.00 μB/f.u.
D(E_F)   0.38 states/eV/atom

a = 4.5709 Å, b = 4.5709 Å, c = 4.5709 Å
α = 90.00°, β = 90.00°, γ = 90.00°
Element x y z (fractional)
B  0.0000  0.0000  0.0000
Te  0.5000  0.5000  0.5000
Se  0.0000  0.0000  0.5000
Se  0.0000  0.5000  0.0000
Se  0.5000  0.0000  0.0000

---

Stability ranking, top entry: entry ii; the second entry is 74.2 kJ/mol of atoms less favorable.